[1]
Below is crystalline DyPaTc at its relaxed geometry, with properties calculated at the PBE-GGA level.

Results
M_tot   0.0 μB per formula unit
E_tot   -8.304 eV per atom

abc: 6.1491 6.1491 6.1491
angles: 147.17 147.17 47.11
Closest atoms and distances in Å follow each position.
Element x y z (fractional)
Dy1 0.0000 0.0000 0.0000  5 Tc 3.22-3.55, 5 Pa 3.34-3.38, 4 Dy 3.47
Pa1 0.2995 0.2995 0.0000  4 Tc 2.77
Tc1 0.6852 0.6852 0.0000  4 Pa 2.77


[2]
Below is crystalline CrBP2W at its relaxed geometry, with properties calculated at the PBE-GGA level.

Results
M_tot   0.0 μB per formula unit
E_tot   -6.499 eV per atom

abc: 4.1179 4.1179 4.8459
angles: 90.00 90.00 90.00
Closest atoms and distances in Å follow each position.
Element x y z (fractional)
Cr1 0.0000 0.0000 0.0000  4 P 2.06
B1 0.5000 0.5000 0.5000  4 W 2.91, 8 P 3.18
P1 0.0000 0.5000 0.0000  2 Cr 2.06
P2 0.5000 0.0000 0.0000  2 Cr 2.06
W1 0.0000 0.0000 0.5000  2 Cr 2.42


[3]
Below is crystalline MnGa2As at its relaxed geometry, with properties calculated at the PBE-GGA level.

Results
M_tot   0.0 μB per formula unit
E_tot   -4.930 eV per atom

abc: 6.8571 6.8571 6.8571
angles: 95.72 95.72 143.20
Closest atoms and distances in Å follow each position.
Element x y z (fractional)
Mn1 0.0000 0.0000 0.0000  2 As 2.16, 4 Ga 2.36
Mn2 0.7500 0.2500 0.5000  2 As 2.16, 4 Ga 2.36
Ga1 0.3750 0.1239 0.2489  2 Mn 2.36
Ga2 0.8739 0.6250 0.7489  2 Mn 2.36
Ga3 0.8750 0.1261 0.7511  2 Mn 2.36
Ga4 0.8761 0.1250 0.2511  2 Mn 2.36
As1 0.2500 0.7500 0.5000  2 Mn 2.16
As2 0.5000 0.5000 0.0000  2 Mn 2.16


[4]
Below is crystalline KIrSe2Br at its relaxed geometry, with properties calculated at the PBE-GGA level.

Results
Formation energy from raw total energies   -0.254 eV per atom
M_tot   0.0 μB per formula unit
E_tot   -3.974 eV per atom

abc: 4.9052 4.9052 5.6320
angles: 90.00 90.00 90.00
Closest atoms and distances in Å follow each position.
Element x y z (fractional)
K1 0.0000 0.0000 0.0000  4 Br 3.47, 8 Se 3.73
Ir1 0.5000 0.5000 0.5000  4 Se 2.45
Se1 0.0000 0.5000 0.5000  2 Ir 2.45
Se2 0.5000 0.0000 0.5000  2 Ir 2.45
Br1 0.5000 0.5000 0.0000  2 Ir 2.82


[5]
Below is crystalline HgTeRh2 at its relaxed geometry, with properties calculated at the PBE-GGA level.

Results
Formation energy from raw total energies   0.352 eV per atom
M_tot   0.0 μB per formula unit
E_tot   -4.185 eV per atom

abc: 4.7049 4.7049 4.7049
angles: 60.00 60.00 60.00
Closest atoms and distances in Å follow each position.
Element x y z (fractional)
Hg1 0.0000 0.0000 0.0000  4 Te 2.88, 4 Rh 2.88
Te1 0.2500 0.2500 0.2500  4 Hg 2.88, 4 Rh 2.88
Rh1 0.5000 0.5000 0.5000  4 Te 2.88, 4 Rh 2.88
Rh2 0.7500 0.7500 0.7500  4 Hg 2.88, 4 Rh 2.88


[6]
Below is crystalline Ca2ZnHPd at its relaxed geometry, with properties calculated at the PBE-GGA level.

Results
M_tot   0.0 μB per formula unit
E_tot   -3.159 eV per atom

abc: 4.8068 4.8068 3.9611
angles: 90.00 90.00 90.00
Closest atoms and distances in Å follow each position.
Element x y z (fractional)
Ca1 0.0000 0.5000 0.0000  2 H 2.40
Ca2 0.5000 0.0000 0.0000  2 H 2.40
Zn1 0.0000 0.0000 0.5000  2 H 1.98
H1 0.0000 0.0000 0.0000  2 Zn 1.98
Pd1 0.5000 0.5000 0.5000  8 Ca 3.11, 4 Zn 3.40


[7]
Below is crystalline Ni2Bi2Br at its relaxed geometry, with properties calculated at the PBE-GGA level.

Results
Formation energy from raw total energies   0.160 eV per atom
M_tot   0.0 μB per formula unit
E_tot   -4.040 eV per atom

abc: 7.7534 7.7534 3.5106
angles: 90.00 90.00 90.00
Closest atoms and distances in Å follow each position.
Element x y z (fractional)
Ni1 0.1220 0.3780 0.0000  1 Ni 2.67, 4 Bi 2.77
Ni2 0.3780 0.8780 0.0000  1 Ni 2.67, 4 Bi 2.77
Ni3 0.6220 0.1220 0.0000  1 Ni 2.67, 4 Bi 2.77
Ni4 0.8780 0.6220 0.0000  1 Ni 2.67, 4 Bi 2.77
Bi1 0.1533 0.6533 0.5000  6 Ni 2.77-3.03
Bi2 0.3467 0.1533 0.5000  6 Ni 2.77-3.03
Bi3 0.6533 0.8467 0.5000  6 Ni 2.77-3.03
Bi4 0.8467 0.3467 0.5000  6 Ni 2.77-3.03
Br1 0.0000 0.0000 0.0000  4 Ni 3.08, 8 Bi 3.42
Br2 0.5000 0.5000 0.0000  4 Ni 3.08, 8 Bi 3.42


[8]
Below is crystalline SnRh3W at its relaxed geometry, with properties calculated at the PBE-GGA level.

Results
M_tot   0.0 μB per formula unit
E_tot   -6.027 eV per atom

abc: 4.7052 4.7052 4.7052
angles: 90.00 90.00 90.00
Closest atoms and distances in Å follow each position.
Element x y z (fractional)
Sn1 0.0000 0.0000 0.0000  6 Rh 2.35
Rh1 0.0000 0.0000 0.5000  2 Sn 2.35
Rh2 0.0000 0.5000 0.0000  2 Sn 2.35
Rh3 0.5000 0.0000 0.0000  2 Sn 2.35
W1 0.5000 0.5000 0.5000  12 Rh 3.33


[9]
Below is crystalline CrAg3Se at its relaxed geometry, with properties calculated at the PBE-GGA level.

Results
Formation energy from raw total energies   0.754 eV per atom
M_tot   5.1 μB per formula unit
E_tot   -3.579 eV per atom

abc: 5.0533 5.0533 5.0533
angles: 90.00 90.00 90.00
Closest atoms and distances in Å follow each position.
Element x y z (fractional)
Cr1 0.0000 0.0000 0.0000  12 Ag 3.57
Ag1 0.0000 0.5000 0.5000  2 Se 2.53
Ag2 0.5000 0.0000 0.5000  2 Se 2.53
Ag3 0.5000 0.5000 0.0000  2 Se 2.53
Se1 0.5000 0.5000 0.5000  6 Ag 2.53


[10]
Below is crystalline TbDyTe2O8 at its relaxed geometry, with properties calculated at the PBE-GGA level.

Results
Formation energy from raw total energies   -1.951 eV per atom
M_tot   0.0 μB per formula unit
E_tot   -6.550 eV per atom

abc: 6.2444 6.2444 6.2444
angles: 107.59 107.59 113.31
Closest atoms and distances in Å follow each position.
Element x y z (fractional)
Tb1 0.0000 0.0000 0.0000  8 O 2.35-2.46
Dy1 0.2500 0.7500 0.5000  8 O 2.34-2.46
Te1 0.5000 0.5000 0.0000  4 O 1.95
Te2 0.7500 0.2500 0.5000  4 O 1.95
O1 0.2981 0.1120 0.8138  1 Te 1.95
O2 0.2981 0.4843 0.1862  1 Te 1.95
O3 0.3631 0.0481 0.3151  1 Te 1.95
O4 0.5157 0.7019 0.8138  1 Te 1.95
O5 0.7330 0.0481 0.6849  1 Te 1.95
O6 0.8880 0.7019 0.1862  1 Te 1.95
O7 0.9519 0.2670 0.3151  1 Te 1.95
O8 0.9519 0.6369 0.6849  1 Te 1.95


[11]
Below is crystalline LaCe3 at its relaxed geometry, with properties calculated at the PBE-GGA level.

Results
M_tot   0.4 μB per formula unit
E_tot   -5.542 eV per atom

abc: 6.6833 6.6833 6.6833
angles: 150.78 61.29 127.42
Closest atoms and distances in Å follow each position.
Element x y z (fractional)
La1 0.0000 0.0000 0.0000  6 Ce 3.20-3.56, 2 La 3.37
Ce1 0.3583 0.5900 0.7682  8 Ce 3.25-3.43, 3 La 3.56-3.60
Ce2 0.4592 0.9592 0.5000  2 La 3.20, 6 Ce 3.25-3.37
Ce3 0.8218 0.5900 0.2318  8 Ce 3.25-3.43, 3 La 3.56-3.60


[12]
Below is crystalline TcNi2H2 at its relaxed geometry, with properties calculated at the PBE-GGA level.

Results
M_tot   0.0 μB per formula unit
E_tot   -5.439 eV per atom

abc: 5.8394 5.8394 2.6285
angles: 90.00 90.00 90.00
Closest atoms and distances in Å follow each position.
Element x y z (fractional)
Tc1 0.0000 0.0000 0.0000  4 H 2.07
Tc2 0.5000 0.5000 0.0000  4 H 2.07
Ni1 0.1472 0.3528 0.5000  2 H 1.67
Ni2 0.3528 0.8528 0.5000  2 H 1.67
Ni3 0.6472 0.1472 0.5000  2 H 1.67
Ni4 0.8528 0.6472 0.5000  2 H 1.67
H1 0.2272 0.7272 0.0000  2 Ni 1.67
H2 0.2728 0.2272 0.0000  2 Ni 1.67
H3 0.7272 0.7728 0.0000  2 Ni 1.67
H4 0.7728 0.2728 0.0000  2 Ni 1.67


Question: Look up the E_tot of the eighth one.
Answer: -6.027 eV per atom


Question: What is the formula in the eighth record?
Answer: SnRh3W


Question: The lowest E_tot belongs to which entry?
Answer: DyPaTc